1.
{"formula": "KHoCoTe3", "functional": "PBE-GGA", "state": "relaxed", "cell": [[8.703, -2.366, 0.000], [8.703, 2.366, 0.000], [-0.718, 0.000, 9.198]], "species": ["K", "K", "Co", "Co", "Ho", "Ho", "Te", "Te", "Te", "Te", "Te", "Te"], "fractional_positions": [[0.142, 0.142, 0.586], [0.858, 0.858, 0.414], [0.502, 0.502, 0.871], [0.498, 0.498, 0.129], [0.165, 0.165, 0.089], [0.835, 0.835, 0.911], [0.500, 0.500, 0.500], [0.338, 0.338, 0.137], [0.000, 0.000, 0.000], [0.662, 0.662, 0.863], [0.365, 0.365, 0.704], [0.635, 0.635, 0.296]], "sg": "C2/m", "magnetic_moment_mub_per_atom": 0.33}


2.
{"formula": "LiGaSiAg", "functional": "PBE-GGA", "state": "relaxed", "cell": [[0.158, -2.590, 3.700], [-2.998, -3.337, 0.552], [1.331, -4.308, -0.312]], "species": ["Li", "Ag", "Ga", "Si"], "fractional_positions": [[0.750, 0.750, 0.750], [0.250, 0.250, 0.250], [0.000, 0.000, 0.000], [0.500, 0.500, 0.500]], "sg": "F-43m"}


3.
{"formula": "ZrU", "functional": "PBE-GGA", "state": "relaxed", "cell": [[2.366, -3.157, -0.769], [-1.451, -3.152, -2.028], [1.238, -0.716, -3.757]], "species": ["U", "Zr"], "fractional_positions": [[0.000, 0.000, 0.000], [0.500, 0.500, 0.500]], "sg": "Fm-3m", "magnetic_moment_mub_per_atom": 0.04, "e_form_ev_per_atom": 1.25}


4.
{"formula": "ZrTlCdCo", "functional": "PBE-GGA", "state": "relaxed", "cell": [[3.509, -1.807, 2.630], [2.970, 2.894, 2.303], [-0.180, 0.308, 4.729]], "species": ["Cd", "Co", "Zr", "Tl"], "fractional_positions": [[0.500, 0.500, 0.500], [0.750, 0.750, 0.750], [0.250, 0.250, 0.250], [0.000, 0.000, 0.000]], "sg": "F-43m", "magnetic_moment_mub_per_atom": 0.13}


no.,distance to the lowest polymorph of the same formula (eV per atom)
1,0.182
2,0.024
3,1.140
4,0.050